A plane-wave DFT calculation with PBE-GGA was carried out for an optimized crystal structure of MnBeTcPd.

Unit cell a=2.7196 b=2.7196 c=7.8076 alpha=90.00 beta=90.00 gamma=120.00
Closest atoms and distances in Å follow each position.
Space group P3m1 (No. 156)
One atom of each set of equivalent atoms:
Mn 0.0000 0.0000 0.0000 (multiplicity 1)  3 Tc 2.48, 3 Pd 2.70, 6 Mn 2.72
Be 0.0000 0.0000 0.5054 (multiplicity 1)  3 Pd 2.35, 3 Tc 2.50
Tc 0.3333 0.6667 0.7540 (multiplicity 1)  3 Mn 2.48, 3 Be 2.50, 6 Tc 2.72
Pd 0.3333 0.6667 0.2813 (multiplicity 1)  3 Be 2.35

Results
Total magnetic moment in μB per cell: 0.00
Offset from the most stable computed form in kJ per mole of atoms: 15.63
DFT formation energy in meV/atom: -17
DFT total energy in eV for the cell shown: -28.52